# 1
VASP calculation (PBE) on a relaxed Mg3Hg4 crystal.

Lattice parameters (Å, degrees): 10.8202 10.8202 10.8202 159.36 159.36 29.35
Closest atoms and distances in Å follow each position.
Element x y z (fractional)
Mg 0.0000 0.0000 0.0000  10 Hg 3.11-3.16
Mg 0.2913 0.2913 0.0000  6 Hg 2.89-2.99
Mg 0.7087 0.7087 0.0000  6 Hg 2.89-2.99
Hg 0.1512 0.1512 0.0000  6 Mg 2.93-3.16, 4 Hg 3.22
Hg 0.4295 0.4295 0.0000  5 Mg 2.89-3.11, 5 Hg 2.95-3.22
Hg 0.5705 0.5705 0.0000  5 Mg 2.89-3.11, 5 Hg 2.95-3.22
Hg 0.8488 0.8488 0.0000  6 Mg 2.93-3.16, 4 Hg 3.22

Computed properties:
**ΔE to the lowest computed polymorph**: 0.0228 eV/atom
**Space group**: No. 139
**Formation enthalpy at 0 K**: -13.12 kJ/mol of atoms
**Crystal system**: tetragonal

---

# 2
VASP calculation (PBE) on a relaxed HoPaPb2O6 crystal.

Lattice parameters (Å, degrees): 6.0274 6.1673 10.5210 90.00 124.85 90.00
Closest atoms and distances in Å follow each position.
Element x y z (fractional)
Ho 0.0000 0.0000 0.0000  6 O 2.28-2.29
Ho 0.0000 0.5000 0.5000  6 O 2.28-2.29
Pa 0.5000 0.0000 0.5000  6 O 2.20
Pa 0.5000 0.5000 0.0000  6 O 2.20
Pb 0.2417 0.0281 0.7484  3 O 2.49-2.51
Pb 0.2417 0.4719 0.2484  3 O 2.49-2.51
Pb 0.7583 0.5281 0.7516  3 O 2.49-2.51
Pb 0.7583 0.9719 0.2516  3 O 2.49-2.51
O 0.1535 0.1934 0.4531  1 Pa 2.20, 1 Ho 2.28
O 0.1535 0.3066 0.9531  1 Pa 2.20, 1 Ho 2.28
O 0.2574 0.7054 0.4493  1 Pa 2.20, 1 Ho 2.29
O 0.2574 0.7946 0.9493  1 Pa 2.20, 1 Ho 2.29
O 0.3522 0.0251 0.2547  1 Pa 2.20, 1 Ho 2.28
O 0.3522 0.4749 0.7547  1 Pa 2.20, 1 Ho 2.28
O 0.6478 0.5251 0.2453  1 Pa 2.20, 1 Ho 2.28
O 0.6478 0.9749 0.7453  1 Pa 2.20, 1 Ho 2.28
O 0.7426 0.2054 0.0507  1 Pa 2.20, 1 Ho 2.29
O 0.7426 0.2946 0.5507  1 Pa 2.20, 1 Ho 2.29
O 0.8465 0.6934 0.0469  1 Pa 2.20, 1 Ho 2.28
O 0.8465 0.8066 0.5469  1 Pa 2.20, 1 Ho 2.28

Computed properties:
**Space group**: No. 14
**Electronic total energy**: -77.268 eV per formula unit
**Crystal system**: monoclinic

---

# 3
VASP calculation (PBE) on a relaxed AcSi3NiOs crystal.

Lattice parameters (Å, degrees): 6.8860 6.8860 5.9167 90.00 90.00 125.24
Closest atoms and distances in Å follow each position.
Element x y z (fractional)
Ac 0.2462 0.7538 0.7500  4 Si 2.97-3.19
Ac 0.7538 0.2462 0.2500  4 Si 2.97-3.19
Si 0.2239 0.7761 0.2500  1 Ni 2.12, 1 Os 2.24
Si 0.2991 0.2991 0.0000  2 Ni 2.32, 2 Os 2.46, 1 Si 2.54
Si 0.2991 0.2991 0.5000  2 Ni 2.32, 2 Os 2.46, 1 Si 2.54
Si 0.7009 0.7009 0.0000  2 Ni 2.32, 2 Os 2.46, 1 Si 2.54
Si 0.7009 0.7009 0.5000  2 Ni 2.32, 2 Os 2.46, 1 Si 2.54
Si 0.7761 0.2239 0.7500  1 Ni 2.12, 1 Os 2.24
Ni 0.3976 0.6024 0.2500  5 Si 2.12-2.32
Ni 0.6024 0.3976 0.7500  5 Si 2.12-2.32
Os 0.0411 0.9589 0.2500  5 Si 2.24-2.46
Os 0.9589 0.0411 0.7500  5 Si 2.24-2.46

Computed properties:
**Space group**: No. 63
**Electronic total energy**: -39.652 eV per formula unit
**Crystal system**: orthorhombic

---

# 4
VASP calculation (PBE) on a relaxed NdGdI2 crystal.

Lattice parameters (Å, degrees): 11.1071 11.1071 11.1071 20.24 20.24 20.24
Closest atoms and distances in Å follow each position.
Element x y z (fractional)
Nd 0.0000 0.0000 0.0000  2 I 3.22
Gd 0.5000 0.5000 0.5000  6 I 3.16
I 0.0988 0.0988 0.0988  3 Gd 3.16, 1 Nd 3.22
I 0.9012 0.9012 0.9012  3 Gd 3.16, 1 Nd 3.22

Computed properties:
**Space group**: No. 166
**Electronic total energy**: -24.805 eV per formula unit
**Crystal system**: trigonal

---

# 5
VASP calculation (PBE) on a relaxed TaTcAs2Br crystal.

Lattice parameters (Å, degrees): 4.7296 4.7296 5.1642 90.00 90.00 90.00
Closest atoms and distances in Å follow each position.
Element x y z (fractional)
Ta 0.0000 0.0000 0.0000  4 Br 3.34, 8 As 3.50
Tc 0.5000 0.5000 0.5000  4 As 2.36, 2 Br 2.58
As 0.0000 0.5000 0.5000  2 Tc 2.36
As 0.5000 0.0000 0.5000  2 Tc 2.36
Br 0.5000 0.5000 0.0000  2 Tc 2.58

Computed properties:
**ΔE to the lowest computed polymorph**: 0.1864 eV/atom
**Space group**: No. 123
**Crystal system**: tetragonal

---

# 6
VASP calculation (PBE) on a relaxed SrNbRe2Cl crystal.

Lattice parameters (Å, degrees): 4.4899 4.4899 5.0338 90.00 90.00 90.00
Closest atoms and distances in Å follow each position.
Element x y z (fractional)
Sr 0.0000 0.0000 0.0000  2 Cl 2.52
Nb 0.5000 0.5000 0.0000  4 Sr 3.17, 8 Re 3.37
Re 0.0000 0.5000 0.5000  2 Cl 2.24
Re 0.5000 0.0000 0.5000  2 Cl 2.24
Cl 0.0000 0.0000 0.5000  4 Re 2.24

Computed properties:
**Space group**: No. 123
**Electronic total energy**: -30.979 eV per formula unit
**Crystal system**: tetragonal

---

Computed density, in the same sequence as the records: 9.24 9.38 8.12 6.43 7.31 9.63 Mg/m³.